(1)
Ba2TlNiHg: relaxed, PBE.

N(E_F): 5.44 states/eV/f.u.
E: -13.1 eV for the cell shown

Lattice parameters (Å, degrees): 5.9502 5.9502 5.0395 90.00 90.00 90.00
Closest atoms and distances in Å follow each position.
Sites, in units of the cell vectors:
Tl1 0.5000 0.5000 0.5000  8 Ba 3.90, 4 Hg 4.21
Ba1 0.0000 0.5000 0.0000  2 Ni 2.98
Ba2 0.5000 0.0000 0.0000  2 Ni 2.98
Hg1 0.0000 0.0000 0.5000  2 Ni 2.52
Ni1 0.0000 0.0000 0.0000  2 Hg 2.52

=====

(2)
BaTlNiHg2: relaxed, PBE.

N(E_F): 3.29 states/eV/f.u.
E: -11.8 eV for the cell shown

Lattice parameters (Å, degrees): 5.2108 5.2108 5.1083 90.00 90.00 90.00
Closest atoms and distances in Å follow each position.
Sites, in units of the cell vectors:
Hg1 0.5000 0.0000 0.0000  2 Ni 2.61
Hg2 0.0000 0.5000 0.0000  2 Ni 2.61
Ni1 0.0000 0.0000 0.0000  2 Tl 2.55, 4 Hg 2.61
Ba1 0.5000 0.5000 0.5000  8 Hg 3.65, 4 Tl 3.68
Tl1 0.0000 0.0000 0.5000  2 Ni 2.55

=====

(3)
Ba2TlNiHg: relaxed, PBE.

N(E_F): 4.30 states/eV/f.u.
E: -13.4 eV for the cell shown

Lattice parameters (Å, degrees): 5.9871 5.9871 5.0254 90.00 90.00 90.00
Closest atoms and distances in Å follow each position.
Sites, in units of the cell vectors:
Ba1 0.0000 0.5000 0.0000  2 Ni 2.99
Ba2 0.5000 0.0000 0.0000  2 Ni 2.99
Ni1 0.0000 0.0000 0.0000  2 Tl 2.51
Hg1 0.5000 0.5000 0.5000  8 Ba 3.91, 4 Tl 4.23
Tl1 0.0000 0.0000 0.5000  2 Ni 2.51

=====

(4)
BaTl2NiHg: relaxed, PBE.

N(E_F): 3.40 states/eV/f.u.
E: -13.4 eV for the cell shown

Lattice parameters (Å, degrees): 5.1343 5.1343 5.9440 90.00 90.00 90.00
Closest atoms and distances in Å follow each position.
Sites, in units of the cell vectors:
Hg1 0.5000 0.5000 0.5000  4 Ba 3.63, 8 Tl 3.93
Ba1 0.0000 0.0000 0.5000  2 Ni 2.97
Tl1 0.0000 0.5000 0.0000  2 Ni 2.57
Tl2 0.5000 0.0000 0.0000  2 Ni 2.57
Ni1 0.0000 0.0000 0.0000  4 Tl 2.57